Y2MnTl after structural relaxation. Source: the Alexandria database, functional PBE.

Unit cell a=3.4822 b=3.4822 c=8.4621 alpha=90.00 beta=90.00 gamma=90.00
Space group P4mm (No. 99)
Symmetry-distinct sites (fractional):
Y1 0.0000 0.0000 0.0000 (multiplicity 1)
Y2 0.5000 0.5000 0.3282 (multiplicity 1)
Mn1 0.0000 0.0000 0.5492 (multiplicity 1)
Tl1 0.5000 0.5000 0.7391 (multiplicity 1)


YMnTl after structural relaxation. Source: the Alexandria database, functional PBE.

Unit cell a=6.7507 b=6.7507 c=6.7507 alpha=90.00 beta=90.00 gamma=90.00
Space group F-43m (No. 216)
Symmetry-distinct sites (fractional):
Y1 0.0000 0.0000 0.0000 (multiplicity 4)
Mn1 0.2500 0.2500 0.2500 (multiplicity 4)
Tl1 0.0000 0.0000 0.5000 (multiplicity 4)


YMn3Tl after structural relaxation. Source: the Alexandria database, functional PBE.

Properties
Excess energy over the best structure of this formula in the dataset in eV per atom: 0.450

Unit cell a=5.1827 b=5.1827 c=5.1827 alpha=90.00 beta=90.00 gamma=90.00
Space group Pm-3m (No. 221)
Symmetry-distinct sites (fractional):
Y1 0.0000 0.0000 0.0000 (multiplicity 1)
Mn1 0.0000 0.0000 0.5000 (multiplicity 3)
Tl1 0.5000 0.5000 0.5000 (multiplicity 1)


YMnTl after structural relaxation. Source: the Alexandria database, functional PBE.

Unit cell a=3.5091 b=3.5091 c=11.2201 alpha=90.00 beta=90.00 gamma=90.00
Space group I4mm (No. 107)
Symmetry-distinct sites (fractional):
Y1 0.0000 0.0000 0.0000 (multiplicity 2)
Mn1 0.0000 0.0000 0.3364 (multiplicity 2)
Tl1 0.0000 0.0000 0.6975 (multiplicity 2)


Y3MnTl after structural relaxation. Source: the Alexandria database, functional PBE.

Properties
Excess energy over the best structure of this formula in the dataset in eV per atom: 0.000

Unit cell a=5.1826 b=5.1826 c=5.1826 alpha=90.00 beta=90.00 gamma=90.00
Space group Pm-3m (No. 221)
Symmetry-distinct sites (fractional):
Y1 0.0000 0.0000 0.5000 (multiplicity 3)
Mn1 0.0000 0.0000 0.0000 (multiplicity 1)
Tl1 0.5000 0.5000 0.5000 (multiplicity 1)


Y2MnTl after structural relaxation. Source: the Alexandria database, functional PBE.

Unit cell a=4.7485 b=3.6932 c=11.7548 alpha=90.00 beta=90.00 gamma=90.00
Space group Amm2 (No. 38)
Symmetry-distinct sites (fractional):
Y1 0.0000 0.0000 0.0000 (multiplicity 2)
Y2 0.5000 0.0000 0.3092 (multiplicity 2)
Mn1 0.5000 0.0000 0.5797 (multiplicity 2)
Tl1 0.0000 0.0000 0.7227 (multiplicity 2)


YMnTl after structural relaxation. Source: the Alexandria database, functional PBE.

Unit cell a=7.0273 b=7.0273 c=7.0273 alpha=90.00 beta=90.00 gamma=90.00
Space group F-43m (No. 216)
Symmetry-distinct sites (fractional):
Y1 0.0000 0.0000 0.0000 (multiplicity 4)
Mn1 0.2500 0.2500 0.7500 (multiplicity 4)
Tl1 0.2500 0.2500 0.2500 (multiplicity 4)


YMn3Tl after structural relaxation. Source: the Alexandria database, functional PBE.

Properties
Excess energy over the best structure of this formula in the dataset in eV per atom: 0.000

Unit cell a=5.0494 b=5.0494 c=5.0494 alpha=90.00 beta=90.00 gamma=90.00
Space group Pm-3m (No. 221)
Symmetry-distinct sites (fractional):
Y1 0.0000 0.0000 0.0000 (multiplicity 1)
Mn1 0.0000 0.5000 0.5000 (multiplicity 3)
Tl1 0.5000 0.5000 0.5000 (multiplicity 1)


Y2MnTl after structural relaxation. Source: the Alexandria database, functional PBE.

Unit cell a=3.6705 b=3.6705 c=7.4941 alpha=90.00 beta=90.00 gamma=90.00
Space group P4/mmm (No. 123)
Symmetry-distinct sites (fractional):
Y1 0.0000 0.0000 0.2301 (multiplicity 2)
Mn1 0.5000 0.5000 0.0000 (multiplicity 1)
Tl1 0.5000 0.5000 0.5000 (multiplicity 1)


Y2MnTl after structural relaxation. Source: the Alexandria database, functional PBE.

Unit cell a=7.2182 b=7.2182 c=7.2182 alpha=90.00 beta=90.00 gamma=90.00
Space group F-43m (No. 216)
Symmetry-distinct sites (fractional):
Y1 0.0000 0.0000 0.0000 (multiplicity 4)
Y2 0.2500 0.2500 0.2500 (multiplicity 4)
Mn1 0.2500 0.2500 0.7500 (multiplicity 4)
Tl1 0.0000 0.0000 0.5000 (multiplicity 4)


YMn4Tl after structural relaxation. Source: the Alexandria database, functional PBE.

Unit cell a=7.3307 b=7.3307 c=7.3307 alpha=90.00 beta=90.00 gamma=90.00
Space group F-43m (No. 216)
Symmetry-distinct sites (fractional):
Y1 0.0000 0.0000 0.0000 (multiplicity 4)
Mn1 0.1261 0.1261 0.6261 (multiplicity 16)
Tl1 0.2500 0.2500 0.2500 (multiplicity 4)


Y2MnTl after structural relaxation. Source: the Alexandria database, functional PBE.

Unit cell a=3.5468 b=3.5468 c=28.9512 alpha=90.00 beta=90.00 gamma=120.00
Space group R-3m (No. 166, hexagonal axes)
Symmetry-distinct sites (fractional):
Y1 0.0000 0.0000 0.2421 (multiplicity 6)
Mn1 0.0000 0.0000 0.5000 (multiplicity 3)
Tl1 0.0000 0.0000 0.0000 (multiplicity 3)


Number 1: calculated formation energy 0.079 eV per atom. Number 2: calculated formation energy 0.251 eV per atom. Number 3: calculated formation energy 1.460 eV per atom. Number 4: calculated formation energy 0.061 eV per atom. Number 5: calculated formation energy 0.155 eV per atom. Number 6: calculated formation energy -0.068 eV per atom. Number 7: calculated formation energy 0.625 eV per atom. Number 8: calculated formation energy 1.010 eV per atom. Number 9: calculated formation energy -0.097 eV per atom. Number 10: calculated formation energy 0.160 eV per atom. Number 11: calculated formation energy 0.276 eV per atom. Number 12: calculated formation energy 0.099 eV per atom.